(1)
Hf3ZnF: relaxed, PBE.

Structure (extended XYZ):
```
5
Lattice="4.475 0.000 0.000 0.000 4.475 0.000 0.000 0.000 4.475" Properties=species:S:1:pos:R:3 pbc="T T T"
Hf 0.000 2.238 0.000
F 0.000 0.000 0.000
Hf 0.000 0.000 2.238
Hf 2.238 0.000 0.000
Zn 2.238 2.238 2.238
```

Calculated values
**Total magnetization**: 0.00 μB per atom
**Total DFT energy (no corrections)**: -6.949 eV/atom
**Formation energy from raw total energies**: -0.35 eV per atom
**Theoretical density**: 11.48 g/cm³

(2)
HfZnF2: relaxed, PBE.

Structure (extended XYZ):
```
4
Lattice="1.661 0.000 8.866 -0.830 1.438 8.866 -0.830 -1.438 8.866" Properties=species:S:1:pos:R:3 pbc="T T T"
Hf 0.000 0.000 13.300
F 0.000 0.000 2.866
F 0.000 0.000 23.733
Zn 0.000 0.000 0.000
```

Calculated values
**Total magnetization**: 0.00 μB per atom
**Total DFT energy (no corrections)**: -5.609 eV/atom
**Formation energy from raw total energies**: -1.87 eV per atom
**Theoretical density**: 7.37 g/cm³
**Excess energy over the best structure of this formula in the dataset**: 0 meV/atom

(3)
HfZnF3: relaxed, PBE.

Structure (extended XYZ):
```
5
Lattice="-3.419 0.817 -2.224 0.389 -3.658 -1.942 -2.337 -1.804 2.930" Properties=species:S:1:pos:R:3 pbc="T T T"
Hf -2.684 -2.322 -0.618
F -1.709 0.409 -1.112
F 0.195 -1.829 -0.971
Zn 0.000 0.000 0.000
F -1.169 -0.902 1.465
```

Calculated values
**Total magnetization**: 0.44 μB per atom
**Total DFT energy (no corrections)**: -4.583 eV/atom
**Formation energy from raw total energies**: -1.21 eV per atom
**Theoretical density**: 6.94 g/cm³
**Excess energy over the best structure of this formula in the dataset**: 1060 meV/atom

(4)
HfZnF2: relaxed, PBE.

Structure (extended XYZ):
```
4
Lattice="0.000 3.017 3.017 3.017 0.000 3.017 3.017 3.017 0.000" Properties=species:S:1:pos:R:3 pbc="T T T"
F 1.509 1.509 1.509
F 4.526 4.526 4.526
Zn 0.000 0.000 0.000
Hf 3.017 3.017 3.017
```

Calculated values
**Total magnetization**: 0.34 μB per atom
**Total DFT energy (no corrections)**: -4.817 eV/atom
**Formation energy from raw total energies**: -1.07 eV per atom
**Theoretical density**: 8.52 g/cm³
**Excess energy over the best structure of this formula in the dataset**: 791 meV/atom

(5)
HfZr2F2: relaxed, PBE.

Structure (extended XYZ):
```
10
Lattice="7.954 0.000 0.000 0.000 7.954 0.000 0.000 0.000 2.833" Properties=species:S:1:pos:R:3 pbc="T T T"
Hf 3.977 3.977 0.000
F 7.160 3.183 1.416
F 3.183 0.794 1.416
Zr 2.736 6.713 0.000
Zr 1.241 2.736 0.000
F 4.771 7.160 1.416
F 0.794 4.771 1.416
Zr 6.713 5.218 0.000
Hf 0.000 0.000 0.000
Zr 5.218 1.241 0.000
```

Calculated values
**Total magnetization**: 0.00 μB per atom
**Total DFT energy (no corrections)**: -6.891 eV/atom
**Formation energy from raw total energies**: -0.73 eV per atom
**Theoretical density**: 7.39 g/cm³
**Excess energy over the best structure of this formula in the dataset**: 926 meV/atom

(6)
HfZr2F2: relaxed, PBE.

Structure (extended XYZ):
```
5
Lattice="-2.275 -2.144 -1.236 1.359 -2.485 1.809 -5.097 -0.688 6.005" Properties=species:S:1:pos:R:3 pbc="T T T"
Zr -1.760 -1.858 1.891
Hf 0.000 0.000 0.000
F -2.098 -2.744 4.051
Zr -4.253 -3.459 4.687
F -3.915 -2.573 2.528
```

Calculated values
**Total magnetization**: 0.00 μB per atom
**Total DFT energy (no corrections)**: -7.818 eV/atom
**Formation energy from raw total energies**: -1.66 eV per atom
**Theoretical density**: 7.78 g/cm³
**Excess energy over the best structure of this formula in the dataset**: 0 meV/atom

(7)
HfZrF2: relaxed, PBE.

Structure (extended XYZ):
```
4
Lattice="-4.200 -0.102 1.415 -2.719 3.390 -0.879 -3.308 -0.507 -2.909" Properties=species:S:1:pos:R:3 pbc="T T T"
F -2.557 0.695 -0.593
Hf -5.113 1.390 -1.186
F -7.670 2.086 -1.779
Zr 0.000 0.000 0.000
```

Calculated values
**Total magnetization**: 0.00 μB per atom
**Total DFT energy (no corrections)**: -6.437 eV/atom
**Formation energy from raw total energies**: -0.88 eV per atom
**Theoretical density**: 8.29 g/cm³
**Excess energy over the best structure of this formula in the dataset**: 772 meV/atom

(8)
HfZrF3: relaxed, PBE.

Structure (extended XYZ):
```
5
Lattice="-3.972 0.459 1.700 -1.177 -3.811 -1.721 1.309 -2.034 3.609" Properties=species:S:1:pos:R:3 pbc="T T T"
F 0.655 -1.017 1.804
Hf 0.000 0.000 0.000
Zr -1.920 -2.693 1.794
F -0.589 -1.906 -0.861
F -1.986 0.230 0.850
```

Calculated values
**Total magnetization**: 0.90 μB per atom
**Total DFT energy (no corrections)**: -6.380 eV/atom
**Formation energy from raw total energies**: -1.56 eV per atom
**Theoretical density**: 6.62 g/cm³
**Excess energy over the best structure of this formula in the dataset**: 0 meV/atom

(9)
HfZrF3: relaxed, PBE.

Structure (extended XYZ):
```
5
Lattice="-0.514 4.241 1.120 -4.183 -0.134 -1.410 -1.320 -1.225 4.032" Properties=species:S:1:pos:R:3 pbc="T T T"
F -0.257 2.120 0.560
Zr 0.000 0.000 0.000
F -0.660 -0.613 2.016
F -2.091 -0.067 -0.705
Hf -3.008 1.441 1.871
```

Calculated values
**Total magnetization**: 0.78 μB per atom
**Total DFT energy (no corrections)**: -6.260 eV/atom
**Formation energy from raw total energies**: -1.44 eV per atom
**Theoretical density**: 6.30 g/cm³
**Excess energy over the best structure of this formula in the dataset**: 120 meV/atom

(10)
HfZr2F: relaxed, PBE.

Structure (extended XYZ):
```
4
Lattice="3.571 -3.161 0.828 -0.514 -4.631 -1.313 2.575 -1.767 -3.699" Properties=species:S:1:pos:R:3 pbc="T T T"
F 0.000 0.000 0.000
Zr 1.408 -2.390 -1.046
Hf 2.816 -4.779 -2.092
Zr 4.224 -7.169 -3.138
```

Calculated values
**Total magnetization**: 0.00 μB per atom
**Total DFT energy (no corrections)**: -7.133 eV/atom
**Formation energy from raw total energies**: 0.10 eV per atom
**Theoretical density**: 7.87 g/cm³
**Excess energy over the best structure of this formula in the dataset**: 673 meV/atom

(11)
Hf3ZrF: relaxed, PBE.

Structure (extended XYZ):
```
5
Lattice="4.599 0.000 0.000 0.000 4.599 0.000 0.000 0.000 4.599" Properties=species:S:1:pos:R:3 pbc="T T T"
Hf 0.000 2.300 0.000
Hf 2.300 0.000 0.000
Hf 0.000 0.000 2.300
Zr 2.300 2.300 2.300
F 0.000 0.000 0.000
```

Calculated values
**Total magnetization**: 0.00 μB per atom
**Total DFT energy (no corrections)**: -8.597 eV/atom
**Formation energy from raw total energies**: -0.54 eV per atom
**Theoretical density**: 11.02 g/cm³
**Excess energy over the best structure of this formula in the dataset**: 0 meV/atom

(12)
HfZrF2: relaxed, PBE.

Structure (extended XYZ):
```
4
Lattice="1.708 0.000 7.793 -0.854 1.479 7.793 -0.854 -1.479 7.793" Properties=species:S:1:pos:R:3 pbc="T T T"
F 0.000 0.000 2.279
Zr 0.000 0.000 11.689
F 0.000 0.000 21.099
Hf 0.000 0.000 0.000
```

Calculated values
**Total magnetization**: 0.00 μB per atom
**Total DFT energy (no corrections)**: -7.209 eV/atom
**Formation energy from raw total energies**: -1.65 eV per atom
**Theoretical density**: 8.65 g/cm³
**Excess energy over the best structure of this formula in the dataset**: 0 meV/atom